Run one
Material: Co2PtAu
Method: DFT, GGA-PBE
State: optimized geometry

The structure in POSCAR format:
```
Co2PtAu
1.0
-1.7134 0.8754 -4.2143
-1.4480 -4.2129 1.2715
-2.2398 1.1145 1.1421
Pt Co Au
1 2 1
Direct
0.5000 0.0000 0.5000
0.0000 0.0000 0.0000
0.5000 0.5000 0.0000
0.0000 0.5000 0.5000
```

Calculated values
SG: Cmmm (65)
Crystal system: orthorhombic

---

Run two
Material: Co2PtAu
Method: DFT, GGA-PBE
State: optimized geometry

The structure in POSCAR format:
```
Co2PtAu
1.0
-1.1658 3.1153 -2.7917
-4.1513 1.2497 -0.2493
-1.1835 3.9080 1.4779
Au Co Pt
1 2 1
Direct
0.5000 0.5000 0.5000
0.0000 0.0000 0.0000
0.2500 0.2500 0.2500
0.7500 0.7500 0.7500
```

Calculated values
SG: F-43m (216)
Crystal system: cubic

---

Run three
Material: Co2PtAu
Method: DFT, GGA-PBE
State: optimized geometry

The structure in POSCAR format:
```
Co2PtAu
1.0
1.9703 -2.8134 -2.6042
-0.9029 -4.2045 0.2921
-2.2189 -1.9509 -3.1383
Co Pt Au
2 1 1
Direct
0.7500 0.7500 0.7500
0.2500 0.2500 0.2500
0.0000 0.0000 0.0000
0.5000 0.5000 0.5000
```

Calculated values
SG: Fm-3m (225)
Crystal system: cubic

---

run one is favored, and the nearest alternative lies 0.110 eV/atom above it.

---

Run one
Material: Co2PtAu
Method: DFT, GGA-PBE
State: optimized geometry

The structure in POSCAR format:
```
Co2PtAu
1.0
2.7363 0.0000 0.0000
0.0000 2.7363 0.0000
0.0000 0.0000 7.5334
Pt Au Co
1 1 2
Direct
0.5000 0.5000 0.2500
0.5000 0.5000 0.7500
0.0000 0.0000 0.0091
0.0000 0.0000 0.4910
```

Calculated values
SG: P4/mmm (123)
Crystal system: tetragonal

---

Run two
Material: Co2PtAu
Method: DFT, GGA-PBE
State: optimized geometry

The structure in POSCAR format:
```
Co2PtAu
1.0
4.5966 0.0083 -0.0077
3.7684 2.6321 -0.0077
0.8237 0.2600 4.7491
Au Co Pt
1 2 1
Direct
0.2500 0.2500 0.2500
0.4969 0.4969 0.5278
0.0031 0.0031 0.9722
0.7500 0.7500 0.7500
```

Calculated values
SG: C2/m (12)
Crystal system: monoclinic

---

run one is favored, and the nearest alternative lies 0.066 eV/atom above it.

---

Run one
Material: CoPtAu
Method: DFT, GGA-PBE
State: optimized geometry

The structure in POSCAR format:
```
CoPtAu
1.0
4.1634 0.0000 0.0000
2.0817 3.6056 0.0000
2.0817 1.2019 3.3994
Co Pt Au
1 1 1
Direct
0.7500 0.7500 0.7500
0.0000 0.0000 0.0000
0.5000 0.5000 0.5000
```

Calculated values
SG: F-43m (216)
Crystal system: cubic

---

Run two
Material: CoPtAu
Method: DFT, GGA-PBE
State: optimized geometry

The structure in POSCAR format:
```
CoPtAu
1.0
-3.4744 -3.4372 0.6860
0.2655 -4.5635 -1.8604
2.1360 3.4634 2.7926
Au Pt Co
1 1 1
Direct
0.0041 0.0041 0.0000
0.3192 0.3192 0.0000
0.6767 0.6767 0.0000
```

Calculated values
SG: Imm2 (44)
Crystal system: orthorhombic

---

Run three
Material: CoPtAu
Method: DFT, GGA-PBE
State: optimized geometry

The structure in POSCAR format:
```
CoPtAu
1.0
4.3906 0.0000 0.0000
-2.1953 3.8024 0.0000
0.0000 0.0000 2.7590
Pt Au Co
1 1 1
Direct
0.6667 0.3333 0.5009
0.0000 0.0000 0.0003
0.3333 0.6667 0.4987
```

Calculated values
SG: P-6m2 (187)
Crystal system: hexagonal

---

Run four
Material: CoPtAu
Method: DFT, GGA-PBE
State: optimized geometry

The structure in POSCAR format:
```
CoPtAu
1.0
-0.3251 0.4664 2.7375
-2.2334 -0.4854 -1.6103
0.5733 -6.5864 1.1903
Co Pt Au
1 1 1
Direct
0.6667 0.3333 0.3418
0.3333 0.6667 0.6433
0.0000 0.0000 0.0149
```

Calculated values
SG: P3m1 (156)
Crystal system: trigonal

---

run four is favored, and the nearest alternative lies 0.006 eV/atom above it.

---

Run one
Material: Rb2Co2Au
Method: DFT, GGA-PBE
State: optimized geometry

The structure in POSCAR format:
```
Rb2Co2Au
1.0
6.6677 0.0000 0.0000
0.0000 6.6677 0.0000
3.3339 3.3339 3.6276
Co Rb Au
2 2 1
Direct
0.6427 0.6427 0.7146
0.3573 0.3573 0.2854
0.2500 0.7500 0.5000
0.7500 0.2500 0.5000
0.0000 0.0000 0.0000
```

Calculated values
SG: I4/mmm (139)
Crystal system: tetragonal

---

Run two
Material: Rb2Co2Au
Method: DFT, GGA-PBE
State: optimized geometry

The structure in POSCAR format:
```
Rb2Co2Au
1.0
6.6622 0.0000 0.0000
0.0000 6.6622 0.0000
0.0000 0.0000 5.6412
Co Rb Au
4 4 2
Direct
0.8831 0.6169 0.0000
0.3831 0.8831 0.0000
0.1169 0.3831 0.0000
0.6169 0.1169 0.0000
0.3103 0.1897 0.5000
0.1897 0.6897 0.5000
0.6897 0.8103 0.5000
0.8103 0.3103 0.5000
0.0000 0.0000 0.0000
0.5000 0.5000 0.0000
```

Calculated values
SG: P4/mbm (127)
Crystal system: tetragonal

---

run two is favored, and the nearest alternative lies 0.123 eV/atom above it.

---

Run one
Material: RbCoAu3
Method: DFT, GGA-PBE
State: optimized geometry

The structure in POSCAR format:
```
RbCoAu3
1.0
-5.3148 0.2200 2.3896
0.0978 -5.7822 0.7499
2.3977 0.7235 5.2662
Au Rb Co
3 1 1
Direct
0.0000 0.0000 0.5000
0.5000 0.0000 0.0000
0.0000 0.5000 0.0000
0.0000 0.0000 0.0000
0.5000 0.5000 0.5000
```

Calculated values
SG: Pm-3m (221)
Crystal system: cubic

---

Run two
Material: RbCoAu3
Method: DFT, GGA-PBE
State: optimized geometry

The structure in POSCAR format:
```
RbCoAu3
1.0
5.0079 0.0000 0.0000
0.0000 5.0079 0.0000
0.0000 0.0000 5.0079
Co Au Rb
1 3 1
Direct
0.0000 0.0000 0.0000
0.0000 0.0000 0.5000
0.0000 0.5000 0.0000
0.5000 0.0000 0.0000
0.5000 0.5000 0.5000
```

Calculated values
SG: Pm-3m (221)
Crystal system: cubic

---

run two is favored, and the nearest alternative lies 1.567 eV/atom above it.